# Pr2YHoS4

Crystalline Pr2YHoS4 at its relaxed geometry (PBE, the Alexandria database).

The structure in CIF format:
```
data_Pr2YHoS4
_chemical_formula_sum 'Pr2 Y1 Ho1 S4'
_cell_length_a 6.8698
_cell_length_b 3.9402
_cell_length_c 7.0835
_cell_angle_alpha 90.00
_cell_angle_beta 108.67
_cell_angle_gamma 90.00
_symmetry_space_group_name_H-M 'P 1 2/m 1'
_symmetry_Int_Tables_number 10
_symmetry_space_group_name_Hall '-P 2y'
loop_
_atom_site_label
_atom_site_fract_x
_atom_site_fract_y
_atom_site_fract_z
Pr1 0.0000 0.0000 0.0000
Pr2 0.5000 0.5000 0.0000
Y1 0.0000 0.5000 0.5000
Ho1 0.5000 0.0000 0.5000
S1 0.2448 0.0000 0.7305
S2 0.2587 0.5000 0.2705
```

## Properties
Magnetization, Bohr magnetons per cell: 0.00
Uncorrected formation energy, eV per atom: -2.01

---

# Np2TiGe3Ir4

Crystalline Np2TiGe3Ir4 at its relaxed geometry (PBE, the Alexandria database).

The structure in CIF format:
```
data_Np2TiGe3Ir4
_chemical_formula_sum 'Np2 Ti1 Ge3 Ir4'
_cell_length_a 4.0862
_cell_length_b 4.0862
_cell_length_c 10.8970
_cell_angle_alpha 90.00
_cell_angle_beta 90.00
_cell_angle_gamma 90.00
_symmetry_space_group_name_H-M 'P -4 m 2'
_symmetry_Int_Tables_number 115
_symmetry_space_group_name_Hall 'P -4 -2'
loop_
_atom_site_label
_atom_site_fract_x
_atom_site_fract_y
_atom_site_fract_z
Np1 0.0000 0.5000 0.2442
Ti1 0.0000 0.0000 0.5000
Ge1 0.0000 0.5000 0.8704
Ge2 0.5000 0.5000 0.5000
Ir1 0.0000 0.0000 0.0000
Ir2 0.0000 0.5000 0.6443
Ir3 0.5000 0.5000 0.0000
```

## Properties
Magnetization, Bohr magnetons per cell: 7.87
E_tot, eV per atom: -8.811